The following is a PBE+U calculation of a relaxed LiMn8F33 crystal, from Alexandria via LeMat-Bulk.

Cell: 8.651 8.651 18.588 Å, 90.00 90.00 120.00°
Element x y z (fractional)
F 0.878 0.402 0.926
F 0.872 0.126 0.310
F 0.803 0.935 0.043
F 0.797 0.874 0.426
F 0.922 0.126 0.926
F 0.803 0.253 0.426
F 0.538 0.793 0.698
F 0.791 0.203 0.811
F 0.874 0.797 0.926
F 0.457 0.919 0.813
F 0.532 0.416 0.696
F 0.203 0.791 0.311
F 0.256 0.462 0.698
F 0.587 0.797 0.311
F 0.122 0.524 0.426
F 0.462 0.256 0.198
F 0.468 0.884 0.196
F 0.744 0.207 0.198
F 0.783 0.927 0.196
F 0.116 0.584 0.196
F 0.793 0.538 0.198
F 0.524 0.122 0.926
F 0.253 0.803 0.926
F 0.144 0.217 0.196
F 0.467 0.602 0.581
F 0.207 0.744 0.698
F 0.450 0.197 0.426
F 0.126 0.872 0.810
F 0.543 0.461 0.313
F 0.402 0.878 0.426
F 0.217 0.144 0.696
F 0.197 0.450 0.926
F 0.073 0.856 0.196
F 0.461 0.543 0.813
F 0.126 0.922 0.426
F 0.856 0.073 0.696
F 0.884 0.468 0.696
F 0.927 0.783 0.696
F 0.078 0.203 0.426
F 0.476 0.598 0.426
F 0.747 0.550 0.426
F 0.253 0.128 0.310
F 0.602 0.467 0.081
F 0.550 0.747 0.926
F 0.203 0.078 0.926
F 0.413 0.209 0.811
F 0.919 0.457 0.313
F 0.747 0.874 0.810
F 0.081 0.539 0.813
F 0.416 0.532 0.196
F 0.197 0.132 0.543
F 0.209 0.413 0.311
F 0.864 0.398 0.081
F 0.065 0.868 0.043
F 0.868 0.065 0.543
F 0.136 0.533 0.581
F 0.874 0.747 0.310
F 0.132 0.197 0.043
F 0.398 0.864 0.581
F 0.584 0.116 0.696
F 0.797 0.587 0.811
F 0.539 0.081 0.313
F 0.935 0.803 0.543
F 0.128 0.253 0.810
F 0.533 0.136 0.081
F 0.598 0.476 0.926
Mn 0.333 0.996 0.874
Mn 0.337 0.004 0.374
Mn 0.668 0.002 0.751
Mn 0.666 0.998 0.251
Mn 0.996 0.333 0.374
Mn 0.334 0.332 0.751
Mn 0.000 0.000 0.995
Mn 0.004 0.337 0.874
Mn 0.333 0.667 0.628
Mn 0.332 0.334 0.251
Mn 0.667 0.333 0.128
Mn 0.000 0.000 0.495
Mn 0.663 0.667 0.874
Mn 0.667 0.663 0.374
Mn 0.002 0.668 0.251
Mn 0.998 0.666 0.751
Li 0.667 0.333 0.645
Li 0.333 0.667 0.145

- Energy: -422.66 eV for the cell shown
- Space-group type: P31c
- Size of the total moment: 23.987 μB/f.u.

The following is a PBE+U calculation of a relaxed Li2MnF6 crystal, from Alexandria via LeMat-Bulk.

Cell: 4.923 4.923 4.429 Å, 90.00 90.00 120.00°
Element x y z (fractional)
F 0.308 0.308 0.241
F 0.692 0.692 0.759
F 0.000 0.308 0.759
F 0.000 0.692 0.241
F 0.692 0.000 0.241
F 0.308 0.000 0.759
Mn 0.000 0.000 0.000
Li 0.667 0.333 0.500
Li 0.333 0.667 0.500

- Energy: -45.48 eV for the cell shown
- Space-group type: P-31m
- Energy above the most stable polymorph in this dataset: 28 meV/atom
- Size of the total moment: 2.988 μB/f.u.

The following is a PBE+U calculation of a relaxed Li2MnF4 crystal, from Alexandria via LeMat-Bulk.

Cell: 9.400 9.400 9.400 Å, 20.32 20.32 20.32°
Element x y z (fractional)
Li 0.202 0.202 0.202
Li 0.798 0.798 0.798
Mn 0.000 0.000 0.000
F 0.369 0.369 0.369
F 0.631 0.631 0.631
F 0.872 0.872 0.872
F 0.128 0.128 0.128

- Energy: -38.10 eV for the cell shown
- Space-group type: R-3m
- Energy above the most stable polymorph in this dataset: 60 meV/atom
- Size of the total moment: 5.000 μB/f.u.

Question: The highest energy belongs to which entry?
Answer: Li2MnF4

Question: What is the size of the total moment in the third record?
Answer: 5.000 μB/f.u.

Question: size of the total moment of number 1 (LiMn8F33)?
Answer: 23.987 μB/f.u.

Question: Among the records above, which one has the lowest energy?
Answer: LiMn8F33